A crystal of NaCrGaB2 relaxed with PBEsol, computed with meta-GGA SCAN.

The space group is P4/mmm (No. 123) and the conventional cell measures 3.992, 3.992 and 4.977 Å, with angles of 90.00, 90.00 and 90.00 degrees. The distinct sites, in fractional coordinates, are Na at (0.000, 0.000, 0.000), Cr at (0.000, 0.000, 0.500), Ga at (0.500, 0.500, 0.000) and B at (0.000, 0.500, 0.500).

As for the energy relative to the elements: 1.20 eV per atom. Its volume is 79.3 Å³/cell. The magnetization comes out at 2.23 μB/f.u. For the density of states at the Fermi level, the calculation gives 2.269 states/eV/cell.

A crystal of MgH8C2S2N2O4 relaxed with PBEsol, computed with meta-GGA SCAN.

The space group is P2_1/c (No. 14) and the conventional cell measures 7.785, 8.981 and 7.297 Å, with angles of 90.00, 115.25 and 90.00 degrees. The distinct sites, in fractional coordinates, are Mg at (0.000, 0.000, 0.000), H at (0.136, 0.204, 0.323), H at (0.218, 0.042, 0.397), H at (0.244, 0.056, 0.831), H at (0.323, 0.119, 0.052), C at (0.280, 0.711, 0.148), S at (0.407, 0.559, 0.194), N at (0.188, 0.680, 0.612), O at (0.121, 0.098, 0.282) and O at (0.203, 0.115, 0.923).

The value obtained for the raw total energy is -262.33 eV/cell. Its volume is 461.4 Å³/cell. The magnetization comes out at 0.00 μB/f.u. For the density of states at the Fermi level, the calculation gives 0.000 states/eV/cell.

A crystal of Bi2Te4Pb relaxed with PBEsol, computed with meta-GGA SCAN.

The space group is R3m (No. 160, hexagonal axes) and the conventional cell measures 4.4206, 4.4206 and 41.6705 Å, with angles of 90.00, 90.00 and 120.00 degrees. The distinct sites, in fractional coordinates, are Bi at (0.0000, 0.0000, 0.0000), Bi at (0.0000, 0.0000, 0.4290), Te at (0.0000, 0.0000, 0.1360), Te at (0.0000, 0.0000, 0.2913), Te at (0.0000, 0.0000, 0.7123), Te at (0.0000, 0.0000, 0.8617) and Pb at (0.0000, 0.0000, 0.5680).

The calculation puts the energy relative to the elements, uncorrected at -0.2082 eV per atom. The relative energy among the computed polymorphs is 0.019 eV per atom. Its volume is 705.2 Å³/cell. The magnetization comes out at 0.00 μB/f.u. For the density of states at the Fermi level, the calculation gives 0.041 states/eV/cell.